# 1
Entry from Alexandria: a geometry-optimized Pr3InPt8 structure (PBE).

Cell: 9.5213 9.5213 9.5213 Å, 33.67 33.67 33.67°
Closest atoms and distances in Å follow each position.
Positions (direct):
Pr1 0.0000 0.0000 0.0000  12 Pt 3.13-3.31, 3 In 3.28, 1 Pr 3.46
Pr2 0.1284 0.1284 0.1284  12 Pt 3.21-3.24, 4 Pr 3.46
Pr3 0.5124 0.5124 0.5124  12 Pt 3.12-3.39, 1 In 3.38, 3 Pr 3.46
In1 0.6378 0.6378 0.6378  12 Pt 3.05-3.36, 4 Pr 3.28-3.38
Pt1 0.0679 0.0679 0.5644  6 Pt 2.74-2.78
Pt2 0.0679 0.5644 0.0679  6 Pt 2.74-2.78
Pt3 0.0688 0.5672 0.5672  6 Pt 2.74-2.77, 1 In 3.05
Pt4 0.3168 0.3168 0.3168  6 Pt 2.75-2.77
Pt5 0.5644 0.0679 0.0679  6 Pt 2.74-2.78
Pt6 0.5672 0.0688 0.5672  6 Pt 2.74-2.77, 1 In 3.05
Pt7 0.5672 0.5672 0.0688  6 Pt 2.74-2.77, 1 In 3.05
Pt8 0.8170 0.8170 0.8170  6 Pt 2.74-2.75

Computed properties:
DFT total energy ... -6.382 eV per atom
DFT formation energy ... -931.9 meV/atom
Crystal system ... trigonal

# 2
Entry from Alexandria: a geometry-optimized PrIn3Pt3 structure (PBE).

Cell: 7.3177 7.3177 7.3177 Å, 90.00 90.00 90.00°
Closest atoms and distances in Å follow each position.
Positions (direct):
Pr1 0.0000 0.0000 0.0000  12 In 4.09, 12 Pt 4.09
Pr2 0.5000 0.5000 0.5000  12 In 4.09, 12 Pt 4.09
In1 0.0000 0.2500 0.5000  4 Pt 2.59
In2 0.0000 0.7500 0.5000  4 Pt 2.59
In3 0.2500 0.5000 0.0000  4 Pt 2.59
In4 0.5000 0.0000 0.2500  4 Pt 2.59
In5 0.5000 0.0000 0.7500  4 Pt 2.59
In6 0.7500 0.5000 0.0000  4 Pt 2.59
Pt1 0.0000 0.5000 0.2500  4 In 2.59
Pt2 0.0000 0.5000 0.7500  4 In 2.59
Pt3 0.2500 0.0000 0.5000  4 In 2.59
Pt4 0.5000 0.2500 0.0000  4 In 2.59
Pt5 0.5000 0.7500 0.0000  4 In 2.59
Pt6 0.7500 0.0000 0.5000  4 In 2.59

Computed properties:
Polymorph energy (0 for the lowest one) ... 3.555 eV per formula unit
DFT total energy ... -4.563 eV per atom
DFT formation energy ... -117.4 meV/atom
Crystal system ... cubic

# 3
Entry from Alexandria: a geometry-optimized Pr2InPt structure (PBE).

Cell: 3.6639 3.6639 8.0279 Å, 90.00 90.00 90.00°
Closest atoms and distances in Å follow each position.
Positions (direct):
Pr1 0.0000 0.0000 0.2200  4 Pt 3.14, 4 In 3.43
Pr2 0.0000 0.0000 0.7800  4 Pt 3.14, 4 In 3.43
In1 0.5000 0.5000 0.5000  8 Pr 3.43, 4 In 3.66
Pt1 0.5000 0.5000 0.0000  8 Pr 3.14

Computed properties:
Polymorph energy (0 for the lowest one) ... 0.000 eV per formula unit
DFT total energy ... -5.326 eV per atom
DFT formation energy ... -741.2 meV/atom
Crystal system ... tetragonal

# 4
Entry from Alexandria: a geometry-optimized Pr5In2Pt structure (PBE).

Cell: 7.8170 12.8683 4.9600 Å, 90.00 90.00 90.00°
Closest atoms and distances in Å follow each position.
Positions (direct):
Pr1 0.0000 0.0000 0.0000  4 In 3.33, 4 Pr 3.65
Pr2 0.1345 0.2902 0.0000  1 Pt 2.90
Pr3 0.1814 0.5753 0.5000  2 Pt 3.02, 1 In 3.35
Pr4 0.3186 0.0753 0.5000  2 Pt 3.02, 1 In 3.35
Pr5 0.3655 0.7902 0.0000  1 Pt 2.90
Pr6 0.5000 0.5000 0.0000  4 In 3.33, 4 Pr 3.65
Pr7 0.6345 0.2098 0.0000  1 Pt 2.90
Pr8 0.6814 0.9247 0.5000  2 Pt 3.02, 1 In 3.35
Pr9 0.8186 0.4247 0.5000  2 Pt 3.02, 1 In 3.35
Pr10 0.8655 0.7098 0.0000  1 Pt 2.90
In1 0.0842 0.8349 0.5000  9 Pr 3.33-3.60
In2 0.4158 0.3349 0.5000  9 Pr 3.33-3.60
In3 0.5842 0.6651 0.5000  9 Pr 3.33-3.60
In4 0.9158 0.1651 0.5000  9 Pr 3.33-3.60
Pt1 0.0000 0.5000 0.0000  6 Pr 2.90-3.02
Pt2 0.5000 0.0000 0.0000  6 Pr 2.90-3.02

Computed properties:
Polymorph energy (0 for the lowest one) ... 0.000 eV per formula unit
DFT total energy ... -4.959 eV per atom
DFT formation energy ... -532.3 meV/atom
Crystal system ... orthorhombic

# 5
Entry from Alexandria: a geometry-optimized PrIn3Pt2 structure (PBE).

Cell: 9.3111 9.3111 10.9534 Å, 107.41 107.41 27.21°
Closest atoms and distances in Å follow each position.
Positions (direct):
Pr1 0.0000 0.0000 0.0000  6 Pt 3.25-3.54, 6 In 3.41-3.60
Pr2 0.1588 0.1588 0.7039  6 Pt 3.37-3.63, 8 In 3.45-3.75
Pr3 0.8412 0.8412 0.2961  6 Pt 3.37-3.63, 8 In 3.45-3.75
In1 0.0385 0.0385 0.3427  4 Pt 2.73-2.86, 2 In 3.00
In2 0.2161 0.2161 0.3913  4 Pt 2.66-2.82
In3 0.3273 0.3273 0.0403  4 Pt 2.70-2.85, 1 In 2.96
In4 0.3737 0.3737 0.8033  4 Pt 2.78-2.80, 1 In 2.96
In5 0.5000 0.5000 0.5000  2 Pt 2.68
In6 0.6263 0.6263 0.1967  4 Pt 2.78-2.80, 1 In 2.96
In7 0.6727 0.6727 0.9597  4 Pt 2.70-2.85, 1 In 2.96
In8 0.7839 0.7839 0.6087  4 Pt 2.66-2.82
In9 0.9615 0.9615 0.6573  4 Pt 2.73-2.86, 2 In 3.00
Pt1 0.2044 0.2044 0.1347  6 In 2.73-2.85
Pt2 0.3623 0.3623 0.5433  7 In 2.66-2.86
Pt3 0.4738 0.4738 0.2015  4 In 2.70-2.78
Pt4 0.5262 0.5262 0.7985  4 In 2.70-2.78
Pt5 0.6377 0.6377 0.4567  7 In 2.66-2.86
Pt6 0.7956 0.7956 0.8653  6 In 2.73-2.85

Computed properties:
DFT total energy ... -4.813 eV per atom
DFT formation energy ... -633.9 meV/atom
Crystal system ... monoclinic

# 6
Entry from Alexandria: a geometry-optimized Pr2InPt structure (PBE).

Cell: 8.7492 8.7492 8.7492 Å, 27.08 27.08 27.08°
Closest atoms and distances in Å follow each position.
Positions (direct):
Pr1 0.2356 0.2356 0.2356  3 Pt 2.94
Pr2 0.7644 0.7644 0.7644  3 Pt 2.94
In1 0.0000 0.0000 0.0000  6 Pr 3.42
Pt1 0.5000 0.5000 0.5000  6 Pr 2.94

Computed properties:
Polymorph energy (0 for the lowest one) ... 0.366 eV per formula unit
DFT total energy ... -5.234 eV per atom
DFT formation energy ... -649.7 meV/atom
Crystal system ... trigonal

# 7
Entry from Alexandria: a geometry-optimized Pr3InPt structure (PBE).

Cell: 5.9183 6.5094 8.0434 Å, 83.73 83.26 79.88°
Closest atoms and distances in Å follow each position.
Positions (direct):
Pr1 0.0000 0.0000 0.0000  3 Pt 3.03-3.04, 1 In 3.27
Pr2 0.0228 0.4151 0.5777  1 Pt 2.97, 1 In 3.28
Pr3 0.3761 0.2919 0.1634  3 Pt 3.02-3.26
Pr4 0.4055 0.6161 0.7643  1 Pt 2.91
Pr5 0.5863 0.0965 0.6367  2 Pt 3.02-3.15, 1 In 3.30
Pr6 0.6341 0.7162 0.3238  2 Pt 2.90-3.03
In1 0.1124 0.9153 0.4738  1 Pt 2.88
In2 0.8821 0.5111 0.9717  2 Pt 2.92-2.98, 1 Pr 3.27
Pt1 0.5228 0.8922 0.9909  6 Pr 2.90-3.04, 1 In 2.98
Pt2 0.8406 0.2601 0.2946  2 In 2.88-2.92, 5 Pr 2.97-3.15

Computed properties:
DFT total energy ... -5.162 eV per atom
DFT formation energy ... -538.1 meV/atom
Crystal system ... triclinic

# 8
Entry from Alexandria: a geometry-optimized Pr12InPt6 structure (PBE).

Cell: 9.0385 9.0385 9.0385 Å, 109.47 109.47 109.47°
Closest atoms and distances in Å follow each position.
Positions (direct):
Pr1 0.1235 0.8198 0.3037  3 Pt 2.82-3.11
Pr2 0.1802 0.3037 0.4840  3 Pt 2.82-3.11
Pr3 0.1802 0.6963 0.8765  3 Pt 2.82-3.11
Pr4 0.3037 0.1235 0.8198  3 Pt 2.82-3.11
Pr5 0.3037 0.4840 0.1802  3 Pt 2.82-3.11
Pr6 0.4840 0.1802 0.3037  3 Pt 2.82-3.11
Pr7 0.5160 0.8198 0.6963  3 Pt 2.82-3.11
Pr8 0.6963 0.5160 0.8198  3 Pt 2.82-3.11
Pr9 0.6963 0.8765 0.1802  3 Pt 2.82-3.11
Pr10 0.8198 0.3037 0.1235  3 Pt 2.82-3.11
Pr11 0.8198 0.6963 0.5160  3 Pt 2.82-3.11
Pr12 0.8765 0.1802 0.6963  3 Pt 2.82-3.11
In1 0.0000 0.0000 0.0000  12 Pr 3.69
Pt1 0.1341 0.6341 0.5000  1 Pt 2.80, 6 Pr 2.82-3.11
Pt2 0.3659 0.5000 0.8659  1 Pt 2.80, 6 Pr 2.82-3.11
Pt3 0.5000 0.1341 0.6341  1 Pt 2.80, 6 Pr 2.82-3.11
Pt4 0.5000 0.8659 0.3659  1 Pt 2.80, 6 Pr 2.82-3.11
Pt5 0.6341 0.5000 0.1341  1 Pt 2.80, 6 Pr 2.82-3.11
Pt6 0.8659 0.3659 0.5000  1 Pt 2.80, 6 Pr 2.82-3.11

Computed properties:
DFT total energy ... -5.809 eV per atom
DFT formation energy ... -739.0 meV/atom
Crystal system ... cubic